No. 1
Density functional theory data (PBE) for crystalline LiHg2As at its relaxed geometry.

Unit cell a=4.3495 b=4.3375 c=4.3375 alpha=90.00 beta=90.00 gamma=90.00
With the nearest neighbours (Å) after each atom.
Fractional coordinates of all 4 atoms:
As (0.5000, 0.0000, 0.5000)  4 Li 3.07, 8 Hg 3.07
Hg (0.0000, 0.0000, 0.0000)  4 Hg 3.07, 4 Li 3.07, 4 As 3.07
Hg (0.0000, 0.5000, 0.5000)  4 Hg 3.07, 4 As 3.07, 4 Li 3.07
Li (0.5000, 0.5000, 0.0000)  4 As 3.07, 8 Hg 3.07



No. 2
Density functional theory data (PBE) for crystalline LiHg2As at its relaxed geometry.

Unit cell a=3.0052 b=3.0052 c=9.4990 alpha=90.00 beta=90.00 gamma=90.00
With the nearest neighbours (Å) after each atom.
Fractional coordinates of all 4 atoms:
As (0.5000, 0.5000, 0.6967)  4 Li 2.74, 4 As 3.01
Hg (0.0000, 0.0000, 0.9915)  4 Hg 3.01
Hg (0.5000, 0.5000, 0.2964)  4 Li 2.97, 4 Hg 3.01
Li (0.0000, 0.0000, 0.5154)  4 As 2.74, 4 Hg 2.97, 4 Li 3.01



No. 3
Density functional theory data (PBE) for crystalline Li3Hg2As at its relaxed geometry.

Unit cell a=4.6982 b=7.1637 c=6.5368 alpha=90.00 beta=90.00 gamma=79.06
With the nearest neighbours (Å) after each atom.
Fractional coordinates of all 12 atoms:
Li (0.8343, 0.3517, 0.7801)  3 As 2.72-2.80, 2 Li 2.86-2.87, 4 Hg 2.88-2.99
Li (0.5000, 0.0000, 0.2337)  2 As 2.74, 6 Hg 2.80-2.92, 1 Li 3.06
Li (0.1657, 0.6483, 0.2199)  3 As 2.72-2.80, 2 Li 2.86-2.87, 4 Hg 2.88-2.99
Li (0.8343, 0.3517, 0.2199)  3 As 2.72-2.80, 2 Li 2.86-2.87, 4 Hg 2.88-2.99
Li (0.1657, 0.6483, 0.7801)  3 As 2.72-2.80, 2 Li 2.86-2.87, 4 Hg 2.88-2.99
Li (0.5000, 0.0000, 0.7663)  2 As 2.74, 6 Hg 2.80-2.92, 1 Li 3.06
Hg (0.0000, 0.0000, 0.0000)  8 Li 2.80-2.88, 2 As 3.08
Hg (0.0000, 0.0000, 0.5000)  8 Li 2.92-3.09, 4 Hg 3.08-3.27
Hg (0.3380, 0.3294, 0.5000)  8 Li 2.91-2.99, 2 Hg 3.08-3.11
Hg (0.6620, 0.6706, 0.5000)  8 Li 2.91-2.99, 2 Hg 3.08-3.11
As (0.3526, 0.3212, 0.0000)  8 Li 2.72-2.80
As (0.6474, 0.6788, 0.0000)  8 Li 2.72-2.80



No. 4
Density functional theory data (PBE) for crystalline LiHg2As at its relaxed geometry.

Unit cell a=4.1785 b=3.2151 c=6.5632 alpha=78.17 beta=90.00 gamma=90.00
With the nearest neighbours (Å) after each atom.
Fractional coordinates of all 4 atoms:
As (0.5000, 0.9850, 0.6796)  4 Li 2.73, 3 Hg 2.74-2.93
Hg (0.0000, 0.8054, 0.9975)  2 As 2.93, 6 Hg 3.07-3.22, 2 Li 3.11-3.26
Hg (0.5000, 0.1785, 0.2529)  1 As 2.74
Li (0.0000, 0.5311, 0.5700)  4 As 2.73



Number 1: formation enthalpy at 0 K -79 meV/atom. Number 2: formation enthalpy at 0 K -103 meV/atom. Number 3: formation enthalpy at 0 K -408 meV/atom. Number 4: formation enthalpy at 0 K -117 meV/atom.